No. 1
Entry from the Alexandria database: RbTl12Pb6 after structural relaxation (PBE).

Cell lengths 9.1615, 9.1615, 9.1615 Å; angles 105.49, 105.49, 105.49 degrees
Last column: nearest neighbours and their distance in Å.
Fractional positions:
Rb: 0.0000 0.0000 0.0000  6 Tl 3.69
Tl: 0.1113 0.5000 0.8887  3 Tl 3.25-3.41, 4 Pb 3.31-3.50
Tl: 0.1113 0.8887 0.5000  3 Tl 3.25-3.41, 4 Pb 3.31-3.50
Tl: 0.1179 0.3644 0.3644  4 Pb 3.25-3.56, 4 Tl 3.41-3.60
Tl: 0.3644 0.1179 0.3644  4 Pb 3.25-3.56, 4 Tl 3.41-3.60
Tl: 0.3644 0.3644 0.1179  4 Pb 3.25-3.56, 4 Tl 3.41-3.60
Tl: 0.5000 0.1113 0.8887  3 Tl 3.25-3.41, 4 Pb 3.31-3.50
Tl: 0.5000 0.8887 0.1113  3 Tl 3.25-3.41, 4 Pb 3.31-3.50
Tl: 0.6356 0.6356 0.8821  4 Pb 3.25-3.56, 4 Tl 3.41-3.60
Tl: 0.6356 0.8821 0.6356  4 Pb 3.25-3.56, 4 Tl 3.41-3.60
Tl: 0.8821 0.6356 0.6356  4 Pb 3.25-3.56, 4 Tl 3.41-3.60
Tl: 0.8887 0.1113 0.5000  3 Tl 3.25-3.41, 4 Pb 3.31-3.50
Tl: 0.8887 0.5000 0.1113  3 Tl 3.25-3.41, 4 Pb 3.31-3.50
Pb: 0.2956 0.6905 0.6905  8 Tl 3.25-3.56, 2 Pb 3.56
Pb: 0.3095 0.3095 0.7044  8 Tl 3.25-3.56, 2 Pb 3.56
Pb: 0.3095 0.7044 0.3095  8 Tl 3.25-3.56, 2 Pb 3.56
Pb: 0.6905 0.2956 0.6905  8 Tl 3.25-3.56, 2 Pb 3.56
Pb: 0.6905 0.6905 0.2956  8 Tl 3.25-3.56, 2 Pb 3.56
Pb: 0.7044 0.3095 0.3095  8 Tl 3.25-3.56, 2 Pb 3.56

Results
M_tot ... 0.000 Bohr magnetons per cell
DFT formation energy ... 0.04 eV/atom
Calculated total energy ... -2.674 eV per atom
Calculated volume ... 35.000 A^3/atom
Space-group type ... R-3m (166)

***

No. 2
Entry from the Alexandria database: ReAs2Au after structural relaxation (PBE).

Cell lengths 4.6378, 4.6378, 5.2320 Å; angles 99.27, 99.27, 38.69 degrees
Last column: nearest neighbours and their distance in Å.
Fractional positions:
Re: 0.0000 0.0000 0.0000  6 As 2.58-2.85
As: 0.2777 0.2777 0.7844  3 Re 2.58-2.85, 1 Au 2.64, 2 As 2.84
As: 0.7223 0.7223 0.2156  3 Re 2.58-2.85, 1 Au 2.64, 2 As 2.84
Au: 0.5000 0.5000 0.5000  2 As 2.64

Results
Energy above the lowest structure with this stoichiometry ... 168 meV/atom
M_tot ... 0.000 Bohr magnetons per cell
DFT formation energy ... 0.35 eV/atom
Calculated total energy ... -5.905 eV per atom
Calculated volume ... 17.329 A^3/atom
Space-group type ... C2/m (12)